# 1
Density functional theory data (GGA-PBE) for CsHg3S3 after structural relaxation.

POSCAR file:
```
CsHg3S3
1.0
4.3779 0.0000 0.0000
0.0000 9.9210 -5.7279
0.0000 0.0000 11.4558
Cs Hg S
2 6 6
direct
0.2500 0.6667 0.3333
0.7500 0.3333 0.6667
0.7500 0.9765 0.6807
0.7500 0.7041 0.0235
0.2500 0.6807 0.7041
0.7500 0.3193 0.2959
0.2500 0.2959 0.9765
0.2500 0.0235 0.3193
0.7500 0.7284 0.6126
0.7500 0.8843 0.2716
0.2500 0.6126 0.8843
0.7500 0.3874 0.1157
0.2500 0.1157 0.7284
0.2500 0.2716 0.3874
```

## Properties
ΔE to the lowest computed polymorph (meV per atom): 0
Formation energy from raw total energies (meV/atom): -305
DOS at the Fermi energy (states/eV/cell): 3.190

# 2
Density functional theory data (GGA-PBE) for Hg2SbI after structural relaxation.

POSCAR file:
```
Hg2SbI
1.0
-4.3733 -0.9314 0.6195
-1.3703 -4.2888 0.3248
-0.7642 -1.4608 8.8546
I Sb Hg
1 1 2
direct
0.0000 0.0000 0.0000
0.5000 0.5000 0.5000
0.1109 0.1109 0.6672
0.8891 0.8891 0.3328
```

## Properties
ΔE to the lowest computed polymorph (meV per atom): 146
Formation energy from raw total energies (meV/atom): 35
DOS at the Fermi energy (states/eV/cell): 1.945

# 3
Density functional theory data (GGA-PBE) for Dy2Ge3Pt4Rh after structural relaxation.

POSCAR file:
```
Dy2Ge3Pt4Rh
1.0
3.9972 0.0000 0.0000
0.0000 3.9972 0.0000
0.0000 0.0000 11.5759
Dy Ge Pt Rh
2 3 4 1
direct
0.5000 0.0000 0.2581
0.0000 0.5000 0.7419
0.0000 0.0000 0.5000
0.5000 0.0000 0.8656
0.0000 0.5000 0.1344
0.5000 0.5000 0.0000
0.0000 0.0000 0.0000
0.5000 0.0000 0.6587
0.0000 0.5000 0.3413
0.5000 0.5000 0.5000
```

## Properties
DOS at the Fermi energy (states/eV/cell): 5.240
Formation energy from the elements (eV/atom): -0.81

The following E values (in eV per atom) correspond, in order, to the records above: -2.33; -1.53; -6.26.